Arrangement one

The following is a DFT calculation (PBE) of an optimized crystal structure of ReRuIO2.

## Properties
As for the space group: P4/mmm (123). The volume comes out at 17.6 Å³/atom.

Cell lengths 3.7934, 3.7934, 6.1068 Å; angles 90.00, 90.00, 90.00 degrees
Element x y z (fractional)
Re  0.0000  0.0000  0.0000
Ru  0.5000  0.5000  0.5000
I  0.0000  0.0000  0.5000
O  0.0000  0.5000  0.0000
O  0.5000  0.0000  0.0000

***

Arrangement two

The following is a DFT calculation (PBE) of an optimized crystal structure of ReRuIO2.

## Properties
As for the space group: P4/mmm (123). The volume comes out at 20.8 Å³/atom.

Cell lengths 3.7776, 3.7776, 7.2710 Å; angles 90.00, 90.00, 90.00 degrees
Element x y z (fractional)
Re  0.0000  0.0000  0.0000
Ru  0.5000  0.5000  0.5000
I  0.5000  0.5000  0.0000
O  0.0000  0.5000  0.5000
O  0.5000  0.0000  0.5000

***

Stability, lowest: arrangement two

***

Arrangement one

The following is a DFT calculation (PBE) of an optimized crystal structure of ReSI2O.

## Properties
As for the space group: P4/mmm (123). The volume comes out at 19.7 Å³/atom.

Cell lengths 5.3544, 5.3544, 3.4296 Å; angles 90.00, 90.00, 90.00 degrees
Element x y z (fractional)
Re  0.0000  0.0000  0.0000
S  0.5000  0.5000  0.5000
I  0.0000  0.5000  0.5000
I  0.5000  0.0000  0.5000
O  0.5000  0.5000  0.0000

***

Arrangement two

The following is a DFT calculation (PBE) of an optimized crystal structure of ReSI2O.

## Properties
As for the space group: P4/mmm (123). The volume comes out at 22.8 Å³/atom.

Cell lengths 5.5100, 5.5100, 3.7574 Å; angles 90.00, 90.00, 90.00 degrees
Element x y z (fractional)
Re  0.0000  0.0000  0.0000
S  0.5000  0.5000  0.5000
I  0.0000  0.5000  0.0000
I  0.5000  0.0000  0.0000
O  0.0000  0.0000  0.5000

***

Stability, lowest: arrangement one

***

Arrangement one

The following is a DFT calculation (PBE) of an optimized crystal structure of ScReIO2.

## Properties
As for the space group: P4/mmm (123). The volume comes out at 19.9 Å³/atom.

Cell lengths 4.0437, 4.0437, 6.0852 Å; angles 90.00, 90.00, 90.00 degrees
Element x y z (fractional)
Sc  0.0000  0.0000  0.0000
Re  0.5000  0.5000  0.5000
I  0.0000  0.0000  0.5000
O  0.0000  0.5000  0.0000
O  0.5000  0.0000  0.0000

***

Arrangement two

The following is a DFT calculation (PBE) of an optimized crystal structure of ScReIO2.

## Properties
As for the space group: P4/mmm (123). The volume comes out at 19.3 Å³/atom.

Cell lengths 3.8752, 3.8752, 6.4242 Å; angles 90.00, 90.00, 90.00 degrees
Element x y z (fractional)
Sc  0.0000  0.0000  0.0000
Re  0.5000  0.5000  0.5000
I  0.5000  0.5000  0.0000
O  0.0000  0.5000  0.5000
O  0.5000  0.0000  0.5000

***

Stability, lowest: arrangement one

***

Arrangement one

The following is a DFT calculation (PBE) of an optimized crystal structure of ReSeIO2.

## Properties
As for the space group: P4/mmm (123). The volume comes out at 18.0 Å³/atom.

Cell lengths 3.8876, 3.8876, 5.9437 Å; angles 90.00, 90.00, 90.00 degrees
Element x y z (fractional)
Re  0.0000  0.0000  0.0000
Se  0.5000  0.5000  0.5000
I  0.0000  0.0000  0.5000
O  0.0000  0.5000  0.0000
O  0.5000  0.0000  0.0000

***

Arrangement two

The following is a DFT calculation (PBE) of an optimized crystal structure of ReSeIO2.

## Properties
As for the space group: P4/mmm (123). The volume comes out at 21.0 Å³/atom.

Cell lengths 3.9012, 3.9012, 6.9118 Å; angles 90.00, 90.00, 90.00 degrees
Element x y z (fractional)
Re  0.0000  0.0000  0.0000
Se  0.5000  0.5000  0.5000
I  0.5000  0.5000  0.0000
O  0.0000  0.5000  0.5000
O  0.5000  0.0000  0.5000

***

Stability, lowest: arrangement two

***

Arrangement one

The following is a DFT calculation (PBE) of an optimized crystal structure of ReSiI2O.

## Properties
As for the space group: P4/mmm (123). The volume comes out at 19.2 Å³/atom.

Cell lengths 5.3550, 5.3550, 3.3535 Å; angles 90.00, 90.00, 90.00 degrees
Element x y z (fractional)
Re  0.0000  0.0000  0.0000
Si  0.5000  0.5000  0.5000
I  0.0000  0.5000  0.5000
I  0.5000  0.0000  0.5000
O  0.5000  0.5000  0.0000

***

Arrangement two

The following is a DFT calculation (PBE) of an optimized crystal structure of ReSiI2O.

## Properties
As for the space group: P4/mmm (123). The volume comes out at 23.3 Å³/atom.

Cell lengths 5.5647, 5.5647, 3.7666 Å; angles 90.00, 90.00, 90.00 degrees
Element x y z (fractional)
Re  0.0000  0.0000  0.0000
Si  0.5000  0.5000  0.5000
I  0.0000  0.5000  0.0000
I  0.5000  0.0000  0.0000
O  0.0000  0.0000  0.5000

***

Stability, lowest: arrangement one

***

Arrangement one

The following is a DFT calculation (PBE) of an optimized crystal structure of ReSnI2O.

## Properties
As for the space group: P4/mmm (123). The volume comes out at 24.7 Å³/atom.

Cell lengths 5.6991, 5.6991, 3.8006 Å; angles 90.00, 90.00, 90.00 degrees
Element x y z (fractional)
Re  0.0000  0.0000  0.0000
Sn  0.5000  0.5000  0.5000
I  0.0000  0.5000  0.0000
I  0.5000  0.0000  0.0000
O  0.0000  0.0000  0.5000

***

Arrangement two

The following is a DFT calculation (PBE) of an optimized crystal structure of ReSnI2O.

## Properties
As for the space group: P4/mmm (123). The volume comes out at 31.0 Å³/atom.

Cell lengths 6.1854, 6.1854, 4.0478 Å; angles 90.00, 90.00, 90.00 degrees
Element x y z (fractional)
Re  0.0000  0.0000  0.0000
Sn  0.5000  0.5000  0.5000
I  0.0000  0.5000  0.5000
I  0.5000  0.0000  0.5000
O  0.5000  0.5000  0.0000

***

Stability, lowest: arrangement two

***

Arrangement one

The following is a DFT calculation (PBE) of an optimized crystal structure of TaReIO2.

## Properties
As for the space group: P4/mmm (123). The volume comes out at 19.4 Å³/atom.

Cell lengths 3.8585, 3.8585, 6.5133 Å; angles 90.00, 90.00, 90.00 degrees
Element x y z (fractional)
Ta  0.0000  0.0000  0.0000
Re  0.5000  0.5000  0.5000
I  0.5000  0.5000  0.0000
O  0.0000  0.5000  0.5000
O  0.5000  0.0000  0.5000

***

Arrangement two

The following is a DFT calculation (PBE) of an optimized crystal structure of TaReIO2.

## Properties
As for the space group: P4/mmm (123). The volume comes out at 19.3 Å³/atom.

Cell lengths 3.9197, 3.9197, 6.2919 Å; angles 90.00, 90.00, 90.00 degrees
Element x y z (fractional)
Ta  0.0000  0.0000  0.0000
Re  0.5000  0.5000  0.5000
I  0.0000  0.0000  0.5000
O  0.0000  0.5000  0.0000
O  0.5000  0.0000  0.0000

***

Stability, lowest: arrangement one

***

Arrangement one

The following is a DFT calculation (PBE) of an optimized crystal structure of ReTcI2O.

## Properties
As for the space group: P4/mmm (123). The volume comes out at 23.1 Å³/atom.

Cell lengths 5.5820, 5.5820, 3.7113 Å; angles 90.00, 90.00, 90.00 degrees
Element x y z (fractional)
Re  0.0000  0.0000  0.0000
Tc  0.5000  0.5000  0.5000
I  0.0000  0.5000  0.5000
I  0.5000  0.0000  0.5000
O  0.5000  0.5000  0.0000

***

Arrangement two

The following is a DFT calculation (PBE) of an optimized crystal structure of ReTcI2O.

## Properties
As for the space group: P4/mmm (123). The volume comes out at 23.6 Å³/atom.

Cell lengths 5.6105, 5.6105, 3.7460 Å; angles 90.00, 90.00, 90.00 degrees
Element x y z (fractional)
Re  0.0000  0.0000  0.0000
Tc  0.5000  0.5000  0.5000
I  0.0000  0.5000  0.0000
I  0.5000  0.0000  0.0000
O  0.0000  0.0000  0.5000

***

Stability, lowest: arrangement one

***

Arrangement one

The following is a DFT calculation (PBE) of an optimized crystal structure of TlReI2O.

## Properties
As for the space group: P4/mmm (123). The volume comes out at 31.5 Å³/atom.

Cell lengths 6.1860, 6.1860, 4.1180 Å; angles 90.00, 90.00, 90.00 degrees
Element x y z (fractional)
Tl  0.0000  0.0000  0.0000
Re  0.5000  0.5000  0.5000
I  0.0000  0.5000  0.0000
I  0.5000  0.0000  0.0000
O  0.0000  0.0000  0.5000

***

Arrangement two

The following is a DFT calculation (PBE) of an optimized crystal structure of TlReI2O.

## Properties
As for the space group: P4/mmm (123). The volume comes out at 25.8 Å³/atom.

Cell lengths 5.8029, 5.8029, 3.8246 Å; angles 90.00, 90.00, 90.00 degrees
Element x y z (fractional)
Tl  0.0000  0.0000  0.0000
Re  0.5000  0.5000  0.5000
I  0.0000  0.5000  0.5000
I  0.5000  0.0000  0.5000
O  0.5000  0.5000  0.0000

***

Stability, lowest: arrangement one